The following is a PBE calculation of a geometry-optimized Ac3Ga8Cu3 structure, from Alexandria.

Calculated values
Energy above the lowest structure with this stoichiometry = 0.00 kcal/mol of atoms
D(E_F) = 3.54 states/eV/f.u.
Symmetry = Immm
Total DFT energy (no corrections) = -54.36 eV/f.u.

Cell: 4.554 8.515 8.515 Å, 70.26 74.49 74.49°
Sites, in units of the cell vectors:
Ac 0.500 0.500 0.500
Ac 0.191 0.809 0.809
Ac 0.809 0.191 0.191
Ga 0.159 0.480 0.202
Ga 0.632 0.654 0.083
Ga 0.368 0.346 0.917
Ga 0.159 0.202 0.480
Ga 0.368 0.917 0.346
Ga 0.841 0.520 0.798
Ga 0.841 0.798 0.520
Ga 0.632 0.083 0.654
Cu 0.500 0.000 0.000
Cu 0.000 0.789 0.211
Cu 0.000 0.211 0.789

***

The following is a PBE calculation of a geometry-optimized AcGa2Cu structure, from Alexandria.

Calculated values
Energy above the lowest structure with this stoichiometry = 6.56 kcal/mol of atoms
D(E_F) = 2.27 states/eV/f.u.
Symmetry = P4/mmm
Total DFT energy (no corrections) = -14.86 eV/f.u.

Cell: 3.471 3.471 7.179 Å, 90.00 90.00 90.00°
Sites, in units of the cell vectors:
Ga 0.000 0.000 0.819
Ga 0.000 0.000 0.181
Cu 0.500 0.500 0.000
Ac 0.500 0.500 0.500

***

The following is a PBE calculation of a geometry-optimized Ac3GaCu structure, from Alexandria.

Calculated values
D(E_F) = 6.02 states/eV/f.u.
Symmetry = P1
Total DFT energy (no corrections) = -20.47 eV/f.u.

Cell: 4.119 8.976 9.160 Å, 91.25 89.89 103.25°
Sites, in units of the cell vectors:
Ac 0.774 0.581 0.394
Ac 0.270 0.573 0.027
Ac 0.417 0.867 0.656
Ac 0.977 0.987 0.026
Ac 0.626 0.287 0.766
Ac 0.068 0.168 0.397
Ga 0.413 0.861 0.288
Ga 0.632 0.294 0.134
Cu 0.804 0.642 0.768
Cu 0.239 0.510 0.652

***

The following is a PBE calculation of a geometry-optimized Ac2Ga3Cu structure, from Alexandria.

Calculated values
Energy above the lowest structure with this stoichiometry = 0.00 kcal/mol of atoms
D(E_F) = 6.37 states/eV/f.u.
Symmetry = Fmmm
Total DFT energy (no corrections) = -24.44 eV/f.u.

Cell: 6.342 6.342 8.882 Å, 111.35 111.35 88.87°
Sites, in units of the cell vectors:
Ga 0.168 0.168 0.337
Ga 0.832 0.832 0.663
Ga 0.334 0.835 0.168
Ga 0.835 0.334 0.168
Ga 0.666 0.165 0.832
Ga 0.165 0.666 0.832
Ac 0.743 0.743 0.000
Ac 0.250 0.750 0.500
Ac 0.750 0.250 0.500
Ac 0.257 0.257 0.000
Cu 0.667 0.667 0.333
Cu 0.333 0.333 0.667

***

Number 1: E_form -5.53 eV/f.u.. Number 2: E_form -0.60 eV/f.u.. Number 3: E_form -1.02 eV/f.u.. Number 4: E_form -3.05 eV/f.u..